Compound: Mg9Tl2Pb
Source: the Alexandria database
Functional: PBE
Structure: relaxed

Its total moment is 0.0 μB per formula unit. The calculation puts the mass density at 4929 kg/m3. As for the space-group type: P4/mmm, No. 123. For the energy of formation from the pure elements, the calculation gives -44 meV/atom. The value obtained for the total DFT energy (no corrections) is -1.9431 eV/atom.

Cell lengths 4.547, 4.547, 13.602 Å; angles 90.00, 90.00, 90.00 degrees
Positions (direct):
Mg1 0.000 0.500 0.831
Mg2 0.000 0.500 0.500
Mg3 0.500 0.000 0.500
Mg4 0.500 0.500 0.665
Mg5 0.500 0.000 0.169
Mg6 0.500 0.500 0.335
Mg7 0.500 0.000 0.831
Mg8 0.500 0.500 0.000
Mg9 0.000 0.500 0.169
Tl1 0.000 0.000 0.334
Tl2 0.000 0.000 0.666
Pb1 0.000 0.000 0.000



Compound: MgTlPb3
Source: the Alexandria database
Functional: PBE
Structure: relaxed

Its total moment is 0.0 μB per formula unit. The energy above the lowest structure with this stoichiometry is 0 meV/atom. The calculation puts the mass density at 8894 kg/m3. As for the space-group type: Cmcm, No. 63. For the energy of formation from the pure elements, the calculation gives 78 meV/atom. The value obtained for the total DFT energy (no corrections) is -2.9392 eV/atom.

Cell lengths 6.248, 6.631, 8.349 Å; angles 113.40, 90.00, 90.00 degrees
Positions (direct):
Pb1 0.000 0.000 0.000
Pb2 0.750 0.076 0.661
Pb3 0.250 0.415 0.339
Pb4 0.750 0.585 0.661
Pb5 0.250 0.924 0.339
Pb6 0.500 0.000 0.000
Tl1 0.250 0.399 0.799
Tl2 0.750 0.601 0.201
Mg1 0.750 0.168 0.335
Mg2 0.250 0.832 0.665



Compound: Mg6TlPb12
Source: the Alexandria database
Functional: PBE
Structure: relaxed

Its total moment is 0.0 μB per formula unit. The calculation puts the mass density at 8413 kg/m3. As for the space-group type: Im-3, No. 204. For the energy of formation from the pure elements, the calculation gives 56 meV/atom. The value obtained for the total DFT energy (no corrections) is -2.9145 eV/atom.

Cell lengths 8.993, 8.993, 8.993 Å; angles 109.47, 109.47, 109.47 degrees
Positions (direct):
Mg1 0.644 0.500 0.144
Mg2 0.356 0.500 0.856
Mg3 0.500 0.856 0.356
Mg4 0.144 0.644 0.500
Mg5 0.856 0.356 0.500
Mg6 0.500 0.144 0.644
Pb1 0.818 0.729 0.547
Pb2 0.453 0.182 0.271
Pb3 0.182 0.271 0.453
Pb4 0.089 0.818 0.271
Pb5 0.271 0.089 0.818
Pb6 0.911 0.182 0.729
Pb7 0.271 0.453 0.182
Pb8 0.182 0.729 0.911
Pb9 0.729 0.547 0.818
Pb10 0.547 0.818 0.729
Pb11 0.818 0.271 0.089
Pb12 0.729 0.911 0.182
Tl1 0.000 0.000 0.000